# TmCrS, relaxed, DFT GGA-PBE
data_TmCrS
_symmetry_space_group_name_H-M 'P 1'
_symmetry_Int_Tables_number 1
_cell_length_a 3.441
_cell_length_b 3.441
_cell_length_c 11.019
_cell_angle_alpha 90.00
_cell_angle_beta 90.00
_cell_angle_gamma 120.00
loop_
_symmetry_equiv_pos_as_xyz
'x,y,z'
loop_
_atom_site_label
_atom_site_type_symbol
_atom_site_fract_x
_atom_site_fract_y
_atom_site_fract_z
Tm1 Tm 0.000 0.000 0.173
Tm2 Tm 0.000 0.000 0.827
Cr1 Cr 0.667 0.333 0.382
Cr2 Cr 0.667 0.333 0.618
S1 S 0.000 0.000 0.500
S2 S 0.667 0.333 0.000
# * calculated volume: 113.0 Å³/cell
# * SG: No. 187
# * electronic total energy: -39.6 eV/cell
# * total moment: 0.751 μB/atom
# * DOS at the Fermi energy: 0.47 states/eV per atom